Version w
SmDy2Al6 after structural relaxation, computed with PBE-GGA.

Lattice parameters (Å, degrees): 3.522 7.926 7.926 120.00 90.00 90.00
Positions (direct):
Dy (0.000, 0.333, 0.667)
Al (0.500, 0.000, 0.335)
Al (0.500, 0.335, 0.000)
Al (0.500, 0.665, 0.665)
Dy (0.000, 0.667, 0.333)
Al (0.500, 0.665, 0.000)
Al (0.500, 0.335, 0.335)
Al (0.500, 0.000, 0.665)
Sm (0.000, 0.000, 0.000)

***

Version x
SmDy2Al6 after structural relaxation, computed with PBE-GGA.

Lattice parameters (Å, degrees): 4.400 7.955 7.955 53.65 73.94 73.94
Positions (direct):
Al (0.815, 0.491, 0.880)
Al (0.185, 0.120, 0.509)
Sm (0.500, 0.500, 0.500)
Al (0.000, 0.815, 0.185)
Al (0.815, 0.880, 0.491)
Al (0.000, 0.185, 0.815)
Al (0.185, 0.509, 0.120)
Dy (0.376, 0.124, 0.124)
Dy (0.624, 0.876, 0.876)

***

Last place for stability: version x

***

Version w
SmDyAlTl after structural relaxation, computed with PBE-GGA.

Lattice parameters (Å, degrees): 5.297 5.297 5.297 60.00 60.00 60.00
Positions (direct):
Dy (0.250, 0.250, 0.250)
Tl (0.000, 0.000, 0.000)
Sm (0.750, 0.750, 0.750)
Al (0.500, 0.500, 0.500)

***

Version x
SmDyAlTl after structural relaxation, computed with PBE-GGA.

Lattice parameters (Å, degrees): 3.682 3.682 7.734 90.00 90.00 90.00
Positions (direct):
Al (0.000, 0.000, 0.364)
Sm (0.500, 0.500, 0.122)
Tl (0.000, 0.000, 0.849)
Dy (0.500, 0.500, 0.593)

***

Last place for stability: version w

***

Version w
SmDyYAl after structural relaxation, computed with PBE-GGA.

Lattice parameters (Å, degrees): 3.531 3.531 9.084 90.00 90.00 90.00
Positions (direct):
Al (0.000, 0.000, 0.571)
Dy (0.500, 0.500, 0.360)
Sm (0.000, 0.000, 0.073)
Y (0.500, 0.500, 0.781)

***

Version x
SmDyYAl after structural relaxation, computed with PBE-GGA.

Lattice parameters (Å, degrees): 5.391 5.391 5.391 60.00 60.00 60.00
Positions (direct):
Sm (0.250, 0.250, 0.250)
Y (0.750, 0.750, 0.750)
Dy (0.500, 0.500, 0.500)
Al (0.000, 0.000, 0.000)

***

Last place for stability: version x